Density functional theory data (PBE-GGA) for a relaxed structure of LiSiRh.

Unit cell a=3.9533 b=3.9533 c=3.9533 alpha=60.00 beta=60.00 gamma=60.00
Atoms (fractional coordinates):
Rh (0.5000, 0.5000, 0.5000)
Si (0.7500, 0.7500, 0.7500)
Li (0.0000, 0.0000, 0.0000)

electronic total energy = -16.1 eV for the cell shown
V = 14.6 A^3/atom
Fermi-level density of states = 0.74 states/eV/f.u.
ΔE_f (raw) = -1.38 eV/f.u.
space group = No. 216


Density functional theory data (PBE-GGA) for a relaxed structure of Li2Si2Rh.

Unit cell a=4.0621 b=5.2504 c=8.6462 alpha=85.49 beta=76.41 gamma=67.24
Atoms (fractional coordinates):
Li (0.4849, 0.3473, 0.6829)
Si (0.1432, 0.2834, 0.4302)
Li (0.5151, 0.6527, 0.3171)
Li (0.6948, 0.7217, 0.8888)
Rh (0.7783, 0.0688, 0.3747)
Si (0.8568, 0.7166, 0.5698)
Si (0.0058, 0.1072, 0.8812)
Si (0.9942, 0.8928, 0.1188)
Rh (0.2217, 0.9312, 0.6253)
Li (0.3052, 0.2783, 0.1112)

relative energy among the computed polymorphs = 33.1 meV per atom
electronic total energy = -48.2 eV for the cell shown
V = 16.5 A^3/atom
Fermi-level density of states = 1.84 states/eV/f.u.
ΔE_f (raw) = -2.07 eV/f.u.
space group = No. 12


Density functional theory data (PBE-GGA) for a relaxed structure of Li2Si5Rh3.

Unit cell a=5.3679 b=7.4914 c=7.4913 alpha=109.86 beta=96.16 gamma=96.16
Atoms (fractional coordinates):
Rh (0.6466, 0.5365, 0.7739)
Si (0.2500, 0.4628, 0.5372)
Si (0.5906, 0.3334, 0.9690)
Si (0.0491, 0.7402, 0.8537)
Si (0.0906, 0.9690, 0.3334)
Rh (0.2500, 0.0722, 0.9278)
Rh (0.7500, 0.9278, 0.0722)
Rh (0.8534, 0.2261, 0.4635)
Si (0.4509, 0.1463, 0.2598)
Li (0.4177, 0.1596, 0.6200)
Rh (0.3534, 0.4635, 0.2261)
Si (0.9094, 0.0310, 0.6666)
Si (0.7500, 0.5372, 0.4628)
Li (0.9177, 0.6200, 0.1596)
Si (0.5491, 0.8537, 0.7402)
Si (0.9509, 0.2598, 0.1463)
Li (0.5823, 0.8404, 0.3800)
Si (0.4094, 0.6666, 0.0310)
Li (0.0823, 0.3800, 0.8404)
Rh (0.1466, 0.7739, 0.5365)

electronic total energy = -116.7 eV for the cell shown
V = 13.9 A^3/atom
Fermi-level density of states = 2.97 states/eV/f.u.
ΔE_f (raw) = -5.37 eV/f.u.
space group = No. 15


Density functional theory data (PBE-GGA) for a relaxed structure of Li6SiRh2.

Unit cell a=2.9969 b=7.3164 c=7.3164 alpha=122.57 beta=85.33 gamma=85.33
Atoms (fractional coordinates):
Li (0.6536, 0.6841, 0.6841)
Li (0.1798, 0.4976, 0.8473)
Li (0.8202, 0.5024, 0.1527)
Li (0.3464, 0.3159, 0.3159)
Li (0.8202, 0.1527, 0.5024)
Si (0.0000, 0.0000, 0.0000)
Rh (0.5000, 0.8605, 0.1395)
Rh (0.5000, 0.1395, 0.8605)
Li (0.1798, 0.8473, 0.4976)

electronic total energy = -34.1 eV for the cell shown
V = 14.8 A^3/atom
Fermi-level density of states = 3.15 states/eV/f.u.
ΔE_f (raw) = -2.47 eV/f.u.
space group = No. 12


Density functional theory data (PBE-GGA) for a relaxed structure of Li4SiRh.

Unit cell a=4.3669 b=4.8308 c=7.9803 alpha=72.38 beta=90.00 gamma=90.00
Atoms (fractional coordinates):
Li (0.2502, 0.7868, 0.4164)
Si (0.7500, 0.1261, 0.2478)
Rh (0.7500, 0.6233, 0.2535)
Li (0.7500, 0.5393, 0.9170)
Li (0.7498, 0.2132, 0.5836)
Li (0.2500, 0.9564, 0.0830)
Rh (0.2500, 0.3767, 0.7465)
Si (0.2500, 0.8739, 0.7522)
Li (0.7502, 0.7032, 0.5836)
Li (0.7500, 0.0436, 0.9170)
Li (0.2500, 0.4607, 0.0830)
Li (0.2498, 0.2968, 0.4164)

relative energy among the computed polymorphs = 0.0 meV per atom
electronic total energy = -45.0 eV for the cell shown
V = 13.4 A^3/atom
Fermi-level density of states = 1.95 states/eV/f.u.
ΔE_f (raw) = -2.05 eV/f.u.
space group = No. 63


Density functional theory data (PBE-GGA) for a relaxed structure of Li4SiRh.

Unit cell a=4.6737 b=4.6737 c=4.6737 alpha=60.00 beta=60.00 gamma=60.00
Atoms (fractional coordinates):
Rh (0.7500, 0.7500, 0.7500)
Si (0.0000, 0.0000, 0.0000)
Li (0.3761, 0.8718, 0.3761)
Li (0.3761, 0.3761, 0.8718)
Li (0.8718, 0.3761, 0.3761)
Li (0.3761, 0.3761, 0.3761)

relative energy among the computed polymorphs = 256.6 meV per atom
electronic total energy = -20.9 eV for the cell shown
V = 12.0 A^3/atom
Fermi-level density of states = 1.24 states/eV/f.u.
ΔE_f (raw) = -0.51 eV/f.u.
space group = No. 216


Density functional theory data (PBE-GGA) for a relaxed structure of Li2SiRh2.

Unit cell a=4.8736 b=4.8734 c=4.2321 alpha=55.03 beta=55.03 gamma=53.16
Atoms (fractional coordinates):
Rh (0.2055, 0.2055, 0.2459)
Li (0.4198, 0.4199, 0.3982)
Si (0.0000, 0.0000, 0.0000)
Rh (0.7945, 0.7945, 0.7541)
Li (0.5802, 0.5801, 0.6018)

relative energy among the computed polymorphs = 206.7 meV per atom
electronic total energy = -25.4 eV for the cell shown
V = 12.3 A^3/atom
Fermi-level density of states = 2.46 states/eV/f.u.
ΔE_f (raw) = -1.47 eV/f.u.
space group = No. 12


Density functional theory data (PBE-GGA) for a relaxed structure of LiSi7Rh3.

Unit cell a=7.5856 b=7.5856 c=7.8796 alpha=61.23 beta=61.23 gamma=60.00
Atoms (fractional coordinates):
Si (0.6740, 0.0666, 0.4072)
Si (0.5666, 0.1740, 0.9072)
Si (0.2500, 0.2500, 0.2500)
Si (0.8260, 0.6478, 0.0928)
Si (0.1740, 0.3522, 0.9072)
Si (0.3260, 0.9334, 0.5928)
Si (0.8522, 0.6740, 0.4072)
Rh (0.0721, 0.7500, 0.7500)
Rh (0.5721, 0.9279, 0.2500)
Si (0.4334, 0.8260, 0.0928)
Si (0.7500, 0.7500, 0.7500)
Si (0.9334, 0.1478, 0.5928)
Rh (0.7500, 0.4279, 0.7500)
Rh (0.9279, 0.2500, 0.2500)
Rh (0.2500, 0.5721, 0.2500)
Li (0.0000, 0.0000, 0.0000)
Si (0.1478, 0.3260, 0.5928)
Rh (0.4279, 0.0721, 0.7500)
Si (0.6478, 0.4334, 0.0928)
Si (0.0666, 0.8522, 0.4072)
Li (0.5000, 0.5000, 0.5000)
Si (0.3522, 0.5666, 0.9072)

electronic total energy = -134.3 eV for the cell shown
V = 14.8 A^3/atom
Fermi-level density of states = 4.27 states/eV/f.u.
ΔE_f (raw) = -5.23 eV/f.u.
space group = No. 167


Density functional theory data (PBE-GGA) for a relaxed structure of LiSi3Rh3.

Unit cell a=6.5108 b=6.5108 c=6.5108 alpha=90.00 beta=90.00 gamma=90.00
Atoms (fractional coordinates):
Li (0.0000, 0.0000, 0.0000)
Li (0.5000, 0.5000, 0.5000)
Si (0.2500, 0.5000, 0.0000)
Rh (0.0000, 0.5000, 0.2500)
Si (0.7500, 0.5000, 0.0000)
Si (0.5000, 0.0000, 0.2500)
Rh (0.0000, 0.5000, 0.7500)
Si (0.0000, 0.7500, 0.5000)
Si (0.0000, 0.2500, 0.5000)
Rh (0.7500, 0.0000, 0.5000)
Rh (0.5000, 0.7500, 0.0000)
Rh (0.5000, 0.2500, 0.0000)
Rh (0.2500, 0.0000, 0.5000)
Si (0.5000, 0.0000, 0.7500)

electronic total energy = -84.4 eV for the cell shown
V = 19.7 A^3/atom
Fermi-level density of states = 3.67 states/eV/f.u.
ΔE_f (raw) = -1.96 eV/f.u.
space group = No. 223


Density functional theory data (PBE-GGA) for a relaxed structure of Li2Si2Rh.

Unit cell a=4.7965 b=4.9229 c=7.1068 alpha=115.24 beta=90.00 gamma=119.15
Atoms (fractional coordinates):
Li (0.2370, 0.1848, 0.9459)
Si (0.4343, 0.5917, 0.3491)
Rh (0.6435, 0.0000, 0.7500)
Li (0.7630, 0.8152, 0.0541)
Si (0.5657, 0.4083, 0.6509)
Rh (0.3565, 0.0000, 0.2500)
Li (0.9479, 0.1848, 0.4459)
Si (0.1574, 0.5917, 0.8491)
Si (0.8426, 0.4083, 0.1509)
Li (0.0521, 0.8152, 0.5541)

relative energy among the computed polymorphs = 0.0 meV per atom
electronic total energy = -48.5 eV for the cell shown
V = 12.8 A^3/atom
Fermi-level density of states = 1.03 states/eV/f.u.
ΔE_f (raw) = -2.24 eV/f.u.
space group = No. 15


Density functional theory data (PBE-GGA) for a relaxed structure of LiSi4Rh.

Unit cell a=4.9596 b=4.9596 c=4.9596 alpha=60.00 beta=60.00 gamma=60.00
Atoms (fractional coordinates):
Li (0.2500, 0.2500, 0.2500)
Si (0.6245, 0.6245, 0.1264)
Si (0.6245, 0.1264, 0.6245)
Si (0.6245, 0.6245, 0.6245)
Rh (0.0000, 0.0000, 0.0000)
Si (0.1264, 0.6245, 0.6245)

electronic total energy = -29.8 eV for the cell shown
V = 14.4 A^3/atom
Fermi-level density of states = 6.64 states/eV/f.u.
ΔE_f (raw) = 1.17 eV/f.u.
space group = No. 216


Density functional theory data (PBE-GGA) for a relaxed structure of Li2SiRh2.

Unit cell a=7.3841 b=7.3841 c=7.3841 alpha=156.57 beta=156.57 gamma=33.38
Atoms (fractional coordinates):
Rh (0.4022, 0.4022, 0.0000)
Si (0.0000, 0.0000, 0.0000)
Li (0.7500, 0.2500, 0.5000)
Li (0.2500, 0.7500, 0.5000)
Rh (0.5978, 0.5978, 0.0000)

relative energy among the computed polymorphs = 271.4 meV per atom
electronic total energy = -25.1 eV for the cell shown
V = 12.7 A^3/atom
Fermi-level density of states = 1.53 states/eV/f.u.
ΔE_f (raw) = -1.14 eV/f.u.
space group = No. 139


Density functional theory data (PBE-GGA) for a relaxed structure of Li2Si2Rh3.

Unit cell a=4.1649 b=4.1901 c=7.1735 alpha=89.60 beta=108.22 gamma=120.52
Atoms (fractional coordinates):
Li (0.2741, 0.1353, 0.3936)
Rh (0.0000, 0.0000, 0.0000)
Rh (0.5219, 0.2611, 0.7933)
Si (0.7806, 0.3909, 0.1642)
Rh (0.4781, 0.7389, 0.2067)
Li (0.7259, 0.8647, 0.6064)
Si (0.2194, 0.6091, 0.8358)

electronic total energy = -40.8 eV for the cell shown
V = 14.4 A^3/atom
Fermi-level density of states = 2.20 states/eV/f.u.
ΔE_f (raw) = -4.07 eV/f.u.
space group = No. 2


Density functional theory data (PBE-GGA) for a relaxed structure of LiSiRh.

Unit cell a=4.0482 b=4.0482 c=2.8582 alpha=90.00 beta=90.00 gamma=120.00
Atoms (fractional coordinates):
Rh (0.6667, 0.3333, 0.4595)
Si (0.3333, 0.6667, 0.5550)
Li (0.0000, 0.0000, 0.9855)

electronic total energy = -16.4 eV for the cell shown
V = 13.5 A^3/atom
Fermi-level density of states = 1.23 states/eV/f.u.
ΔE_f (raw) = -1.66 eV/f.u.
space group = No. 156


Density functional theory data (PBE-GGA) for a relaxed structure of LiSi3Rh.

Unit cell a=4.6572 b=4.6572 c=4.6572 alpha=90.00 beta=90.00 gamma=90.00
Atoms (fractional coordinates):
Rh (0.0000, 0.0000, 0.0000)
Si (0.5000, 0.0000, 0.0000)
Li (0.5000, 0.5000, 0.5000)
Si (0.0000, 0.5000, 0.0000)
Si (0.0000, 0.0000, 0.5000)

electronic total energy = -23.7 eV for the cell shown
V = 20.2 A^3/atom
Fermi-level density of states = 4.07 states/eV/f.u.
ΔE_f (raw) = 1.85 eV/f.u.
space group = No. 221


Density functional theory data (PBE-GGA) for a relaxed structure of LiSm3Si6Rh2.

Unit cell a=5.3916 b=5.3916 c=9.0738 alpha=90.00 beta=90.00 gamma=120.00
Atoms (fractional coordinates):
Si (0.1668, 0.3335, 0.2762)
Sm (0.3333, 0.6667, 0.5844)
Si (0.1668, 0.8332, 0.2762)
Rh (0.3333, 0.6667, 0.0772)
Si (0.8332, 0.1668, 0.7238)
Li (0.0000, 0.0000, 0.5000)
Si (0.6665, 0.8332, 0.2762)
Rh (0.6667, 0.3333, 0.9228)
Si (0.3335, 0.1668, 0.7238)
Sm (0.0000, 0.0000, 0.0000)
Sm (0.6667, 0.3333, 0.4156)
Si (0.8332, 0.6665, 0.7238)

electronic total energy = -68.7 eV for the cell shown
V = 19.0 A^3/atom
Fermi-level density of states = 2.96 states/eV/f.u.
ΔE_f (raw) = -5.35 eV/f.u.
space group = No. 164


Density functional theory data (PBE-GGA) for a relaxed structure of LiSmSi2Rh.

Unit cell a=4.1049 b=4.1049 c=5.8280 alpha=110.62 beta=110.62 gamma=90.00
Atoms (fractional coordinates):
Li (0.2500, 0.7500, 0.5000)
Si (0.3814, 0.3814, 0.7628)
Si (0.6186, 0.6186, 0.2372)
Sm (0.0000, 0.0000, 0.0000)
Rh (0.7500, 0.2500, 0.5000)

electronic total energy = -28.7 eV for the cell shown
V = 17.0 A^3/atom
Fermi-level density of states = 2.89 states/eV/f.u.
ΔE_f (raw) = -3.86 eV/f.u.
space group = No. 119


Density functional theory data (PBE-GGA) for a relaxed structure of SrLi2SiRh.

Unit cell a=4.7528 b=4.7528 c=4.6246 alpha=90.00 beta=90.00 gamma=90.00
Atoms (fractional coordinates):
Sr (0.5000, 0.5000, 0.5000)
Rh (0.0000, 0.0000, 0.5000)
Li (0.5000, 0.0000, 0.0000)
Si (0.0000, 0.0000, 0.0000)
Li (0.0000, 0.5000, 0.0000)

relative energy among the computed polymorphs = 70.5 meV per atom
electronic total energy = -19.6 eV for the cell shown
V = 20.9 A^3/atom
Fermi-level density of states = 1.83 states/eV/f.u.
ΔE_f (raw) = -1.35 eV/f.u.
space group = No. 123


Density functional theory data (PBE-GGA) for a relaxed structure of SrLiSiRh.

Unit cell a=4.0899 b=4.0899 c=11.8040 alpha=90.00 beta=90.00 gamma=90.00
Atoms (fractional coordinates):
Rh (0.2500, 0.7500, 0.0000)
Si (0.7500, 0.7500, 0.8952)
Si (0.2500, 0.2500, 0.1048)
Li (0.2500, 0.7500, 0.5000)
Sr (0.2500, 0.2500, 0.7669)
Rh (0.7500, 0.2500, 0.0000)
Li (0.7500, 0.2500, 0.5000)
Sr (0.7500, 0.7500, 0.2331)

electronic total energy = -37.0 eV for the cell shown
V = 24.7 A^3/atom
Fermi-level density of states = 2.70 states/eV/f.u.
ΔE_f (raw) = -2.14 eV/f.u.
space group = No. 129


Density functional theory data (PBE-GGA) for a relaxed structure of SrLi2SiRh.

Unit cell a=4.7994 b=4.7994 c=4.5913 alpha=90.00 beta=90.00 gamma=90.00
Atoms (fractional coordinates):
Si (0.0000, 0.0000, 0.5000)
Li (0.5000, 0.0000, 0.0000)
Sr (0.5000, 0.5000, 0.5000)
Rh (0.0000, 0.0000, 0.0000)
Li (0.0000, 0.5000, 0.0000)

relative energy among the computed polymorphs = 0.0 meV per atom
electronic total energy = -20.0 eV for the cell shown
V = 21.2 A^3/atom
Fermi-level density of states = 1.50 states/eV/f.u.
ΔE_f (raw) = -1.71 eV/f.u.
space group = No. 123


Density functional theory data (PBE-GGA) for a relaxed structure of LiTbSi2Rh.

Unit cell a=4.0469 b=4.0469 c=5.8222 alpha=110.34 beta=110.34 gamma=90.00
Atoms (fractional coordinates):
Tb (0.0000, 0.0000, 0.0000)
Si (0.3830, 0.3830, 0.7660)
Rh (0.7500, 0.2500, 0.5000)
Si (0.6170, 0.6170, 0.2340)
Li (0.2500, 0.7500, 0.5000)

electronic total energy = -28.7 eV for the cell shown
V = 16.6 A^3/atom
Fermi-level density of states = 2.89 states/eV/f.u.
ΔE_f (raw) = -3.91 eV/f.u.
space group = No. 119


Density functional theory data (PBE-GGA) for a relaxed structure of LiTbSiRh.

Unit cell a=4.5417 b=4.5417 c=4.5417 alpha=60.00 beta=60.00 gamma=60.00
Atoms (fractional coordinates):
Tb (0.2500, 0.2500, 0.2500)
Rh (0.5000, 0.5000, 0.5000)
Si (0.7500, 0.7500, 0.7500)
Li (0.0000, 0.0000, 0.0000)

electronic total energy = -21.7 eV for the cell shown
V = 16.6 A^3/atom
Fermi-level density of states = 4.65 states/eV/f.u.
ΔE_f (raw) = -2.43 eV/f.u.
space group = No. 216


Density functional theory data (PBE-GGA) for a relaxed structure of LiThSi2Rh.

Unit cell a=4.1204 b=4.1204 c=5.8926 alpha=110.46 beta=110.46 gamma=90.00
Atoms (fractional coordinates):
Rh (0.7500, 0.2500, 0.5000)
Th (0.0000, 0.0000, 0.0000)
Si (0.3817, 0.3817, 0.7633)
Si (0.6183, 0.6183, 0.2367)
Li (0.2500, 0.7500, 0.5000)

electronic total energy = -31.6 eV for the cell shown
V = 17.4 A^3/atom
Fermi-level density of states = 3.16 states/eV/f.u.
ΔE_f (raw) = -4.03 eV/f.u.
space group = No. 119


Density functional theory data (PBE-GGA) for a relaxed structure of LiTh2Si4Rh3.

Unit cell a=4.2191 b=4.2191 c=9.8480 alpha=90.00 beta=90.00 gamma=90.00
Atoms (fractional coordinates):
Th (0.5000, 0.0000, 0.2499)
Th (0.0000, 0.5000, 0.7501)
Si (0.0000, 0.0000, 0.0000)
Si (0.0000, 0.5000, 0.3671)
Rh (0.0000, 0.5000, 0.1218)
Li (0.5000, 0.5000, 0.5000)
Si (0.5000, 0.0000, 0.6329)
Rh (0.5000, 0.0000, 0.8782)
Rh (0.0000, 0.0000, 0.5000)
Si (0.5000, 0.5000, 0.0000)

electronic total energy = -69.6 eV for the cell shown
V = 17.5 A^3/atom
Fermi-level density of states = 6.04 states/eV/f.u.
ΔE_f (raw) = -9.14 eV/f.u.
space group = No. 115